*a*
{
  "formula": "YZn3S",
  "functional": "PBE-GGA",
  "state": "optimized geometry",
  "vol_a3_per_atom": 21.70,
  "dos_ef_per_ev_atom": 0.70,
  "cell": [[4.769, 0.000, 0.000], [0.000, 4.769, 0.000], [0.000, 0.000, 4.769]],
  "species": ["Y", "Zn", "Zn", "Zn", "S"],
  "fractional_positions": [[0.000, 0.000, 0.000], [0.000, 0.500, 0.500], [0.500, 0.000, 0.500], [0.500, 0.500, 0.000], [0.500, 0.500, 0.500]]
}

---

*b*
{
  "formula": "YZn3S",
  "functional": "PBE-GGA",
  "state": "optimized geometry",
  "vol_a3_per_atom": 34.44,
  "dos_ef_per_ev_atom": 0.79,
  "cell": [[5.563, 0.000, 0.000], [0.000, 5.563, 0.000], [0.000, 0.000, 5.563]],
  "species": ["Y", "Zn", "Zn", "Zn", "S"],
  "fractional_positions": [[0.000, 0.000, 0.000], [0.000, 0.000, 0.500], [0.000, 0.500, 0.000], [0.500, 0.000, 0.000], [0.500, 0.500, 0.500]]
}

---

From most stable to least stable, the computed energies give *a*, *b*.

---

*a*
{
  "formula": "YZrS",
  "functional": "PBE-GGA",
  "state": "optimized geometry",
  "vol_a3_per_atom": 22.95,
  "dos_ef_per_ev_atom": 1.17,
  "cell": [[4.418, 0.000, 0.000], [-2.209, 3.826, 0.000], [0.000, 0.000, 4.073]],
  "species": ["Y", "Zr", "S"],
  "fractional_positions": [[0.000, 0.000, 0.000], [0.667, 0.333, 0.500], [0.333, 0.667, 0.500]]
}

---

*b*
{
  "formula": "YZrS",
  "functional": "PBE-GGA",
  "state": "optimized geometry",
  "vol_a3_per_atom": 22.64,
  "dos_ef_per_ev_atom": 0.81,
  "cell": [[3.899, 0.000, 0.000], [0.000, 3.899, 0.000], [0.000, 0.000, 8.934]],
  "species": ["Y", "Y", "Zr", "Zr", "S", "S"],
  "fractional_positions": [[0.250, 0.250, 0.178], [0.750, 0.750, 0.822], [0.250, 0.250, 0.562], [0.750, 0.750, 0.438], [0.250, 0.250, 0.863], [0.750, 0.750, 0.137]]
}

---

From most stable to least stable, the computed energies give *b*, *a*.

---

*a*
{
  "formula": "ZrZnS3",
  "functional": "PBE-GGA",
  "state": "optimized geometry",
  "vol_a3_per_atom": 19.15,
  "dos_ef_per_ev_atom": 0.73,
  "cell": [[4.575, 0.000, 0.000], [0.000, 4.575, 0.000], [0.000, 0.000, 4.575]],
  "species": ["Zr", "Zn", "S", "S", "S"],
  "fractional_positions": [[0.000, 0.000, 0.000], [0.500, 0.500, 0.500], [0.000, 0.500, 0.500], [0.500, 0.000, 0.500], [0.500, 0.500, 0.000]]
}

---

*b*
{
  "formula": "ZrZnS3",
  "functional": "PBE-GGA",
  "state": "optimized geometry",
  "vol_a3_per_atom": 24.76,
  "dos_ef_per_ev_atom": 0.53,
  "cell": [[4.984, 0.000, 0.000], [0.000, 4.984, 0.000], [0.000, 0.000, 4.984]],
  "species": ["Zr", "Zn", "S", "S", "S"],
  "fractional_positions": [[0.000, 0.000, 0.000], [0.500, 0.500, 0.500], [0.000, 0.000, 0.500], [0.000, 0.500, 0.000], [0.500, 0.000, 0.000]]
}

---

*c*
{
  "formula": "ZrZnS3",
  "functional": "PBE-GGA",
  "state": "optimized geometry",
  "vol_a3_per_atom": 23.44,
  "dos_ef_per_ev_atom": 0.29,
  "cell": [[6.498, 0.000, 0.000], [0.000, 3.768, 0.000], [-0.157, 0.000, 9.573]],
  "species": ["Zr", "Zr", "Zn", "Zn", "S", "S", "S", "S", "S", "S"],
  "fractional_positions": [[0.241, 0.250, 0.051], [0.759, 0.750, 0.949], [0.422, 0.250, 0.597], [0.578, 0.750, 0.403], [0.012, 0.750, 0.151], [0.253, 0.750, 0.523], [0.494, 0.750, 0.146], [0.506, 0.250, 0.854], [0.747, 0.250, 0.477], [0.988, 0.250, 0.849]]
}

---

From most stable to least stable, the computed energies give *c*, *b*, *a*.